Record 1
Material: TlGa4Re2
Method: DFT, PBE
State: optimized geometry

```
7
Lattice="3.5955 -2.0750 0.0000 3.5955 2.0750 0.0000 -0.0183 0.0000 10.2477" Properties=species:S:1:pos:R:3 pbc="T T T"
Tl 0.0000 0.0000 0.0000
Ga -0.0059 0.0000 3.2832
Ga 7.1759 0.0000 7.3618
Ga 4.7784 0.0000 6.9329
Ga 4.7916 0.0000 1.8130
Re 2.3912 0.0000 5.1550
Re 4.7882 0.0000 4.3724
```

The value obtained for the volume is 21.84 Å³ per atom. The symmetry is No. 8. Its calculated density is 9.29 g/cm³. For the total energy, the calculation gives -5.287 eV/atom.


Record 2
Material: Al2CoCu4Ni
Method: DFT, PBE
State: optimized geometry

```
16
Lattice="-2.8214 2.8214 5.9495 2.8214 -2.8214 5.9495 2.8214 2.8214 -5.9495" Properties=species:S:1:pos:R:3 pbc="T T T"
Al 2.8214 1.4107 -1.4859
Al 0.0000 1.4107 1.4889
Al 2.8214 1.4107 4.4606
Al 0.0000 1.4107 7.4353
Co 2.8214 1.4107 1.4874
Co 0.0000 1.4107 4.4621
Cu 1.4142 0.0000 0.0000
Cu 4.2285 0.0000 0.0000
Cu 1.4107 2.8249 -2.9747
Cu 1.4107 0.0035 2.9747
Cu 1.4142 2.8214 0.0000
Cu 1.4071 0.0000 5.9495
Cu -1.4107 2.8178 2.9747
Cu 1.4107 2.8178 2.9747
Ni 2.8214 -1.4107 4.4621
Ni 0.0000 4.2321 1.4874
```

The value obtained for the volume is 11.84 Å³ per atom. The symmetry is No. 141. The value obtained for the energy above the most stable polymorph in this dataset is 2 meV per atom. Its calculated density is 7.46 g/cm³. For the total energy, the calculation gives -4.524 eV/atom.


Record 3
Material: Cs2DyErSe4
Method: DFT, PBE
State: optimized geometry

```
8
Lattice="4.2396 0.0000 0.0000 -2.1198 3.6716 0.0000 0.0000 0.0000 16.6756" Properties=species:S:1:pos:R:3 pbc="T T T"
Cs 0.0000 2.4477 4.1778
Cs 2.1198 1.2239 12.4978
Dy 0.0000 0.0000 0.0000
Er 0.0000 0.0000 8.3378
Se 0.0000 2.4477 9.8704
Se 0.0000 2.4477 15.1187
Se 2.1198 1.2239 1.5570
Se 2.1198 1.2239 6.8053
```

The value obtained for the volume is 32.45 Å³ per atom. The symmetry is No. 164. Its calculated density is 5.83 g/cm³. For the total energy, the calculation gives -4.825 eV/atom.


Record 4
Material: HfPbC2
Method: DFT, PBE
State: optimized geometry

```
4
Lattice="3.3845 0.0000 0.0000 0.0000 3.3845 0.0000 0.0000 0.0000 4.9898" Properties=species:S:1:pos:R:3 pbc="T T T"
Hf 0.0000 0.0000 0.0000
Pb 1.6923 1.6923 2.4949
C 0.0000 0.0000 2.4949
C 1.6923 1.6923 0.0000
```

The value obtained for the volume is 14.29 Å³ per atom. The symmetry is No. 123. Its calculated density is 11.90 g/cm³. For the total energy, the calculation gives -7.289 eV/atom.


Record 5
Material: CsScHgTe3
Method: DFT, PBE
State: optimized geometry

```
12
Lattice="9.9786 -2.1645 0.0000 9.9786 2.1645 0.0000 -1.7909 0.0000 9.8196" Properties=species:S:1:pos:R:3 pbc="T T T"
Cs 2.9253 0.0000 0.5748
Cs 15.2410 0.0000 9.2448
Sc 2.5260 0.0000 5.5616
Sc 15.6404 0.0000 4.2580
Hg 9.1011 0.0000 2.7795
Hg 9.0652 0.0000 7.0401
Te -0.8955 0.0000 4.9098
Te 5.3444 0.0000 6.1977
Te 6.1968 0.0000 2.3827
Te 9.9786 0.0000 0.0000
Te 11.9695 0.0000 7.4369
Te 12.8219 0.0000 3.6219
```

The value obtained for the volume is 35.35 Å³ per atom. The symmetry is No. 12. Its calculated density is 5.96 g/cm³. For the total energy, the calculation gives -3.596 eV/atom.


Record 6
Material: ZrTc2
Method: DFT, PBE
State: optimized geometry

```
6
Lattice="0.0000 3.7239 3.7239 3.7239 0.0000 3.7239 3.7239 3.7239 0.0000" Properties=species:S:1:pos:R:3 pbc="T T T"
Zr 0.9310 0.9310 0.9310
Zr 6.5169 6.5169 6.5169
Tc 3.7239 1.8620 1.8620
Tc 1.8620 3.7239 1.8620
Tc 1.8620 1.8620 3.7239
Tc 3.7239 3.7239 3.7239
```

The value obtained for the volume is 17.21 Å³ per atom. The symmetry is No. 227. The value obtained for the energy above the most stable polymorph in this dataset is 24 meV per atom. Its formation energy from the elements is -0.9 eV per formula unit. Its calculated density is 9.24 g/cm³. For the total energy, the calculation gives -10.045 eV/atom.